Entry 1:
A relaxed structure of SrAgIr2, computed with PBE-GGA.

Calculated values
* energy relative to the elements: 399 meV/atom
* SG: No. 47
* distance to the lowest polymorph of the same formula: 0.2090 eV per atom
* crystal system: orthorhombic
* total moment: 0.000 μB per atom

Cell lengths 3.0258, 4.9403, 4.9653 Å; angles 90.00, 90.00, 90.00 degrees
Closest atoms and distances in Å follow each position.
Atoms (fractional coordinates):
Ag  0.0000  0.5000  0.5000  4 Sr 2.90, 4 Ir 2.91, 2 Ag 3.03
Ir  0.5000  0.5000  0.0000  6 Ir 2.90-3.03, 4 Ag 2.91
Ir  0.0000  0.0000  0.0000  6 Ir 2.90-3.03, 4 Sr 2.91
Sr  0.5000  0.0000  0.5000  4 Ag 2.90, 4 Ir 2.91, 2 Sr 3.03

Entry 2:
A relaxed structure of KCu2Ag, computed with PBE-GGA.

Calculated values
* energy relative to the elements: 618 meV/atom
* SG: No. 216
* distance to the lowest polymorph of the same formula: 0.3182 eV per atom
* crystal system: cubic
* total moment: 0.000 μB per atom

Cell lengths 4.8760, 4.8760, 4.8760 Å; angles 60.00, 60.00, 60.00 degrees
Closest atoms and distances in Å follow each position.
Atoms (fractional coordinates):
Ag  0.5000  0.5000  0.5000  4 Cu 2.99, 4 K 2.99
K  0.7500  0.7500  0.7500  4 Cu 2.99, 4 Ag 2.99
Cu  0.2500  0.2500  0.2500  4 Cu 2.99, 4 Ag 2.99
Cu  0.0000  0.0000  0.0000  4 K 2.99, 4 Cu 2.99

Entry 3:
A relaxed structure of Rb3Nd2HfSe6, computed with PBE-GGA.

Calculated values
* ΔE_f (raw): -1.55 eV/atom
* SG: No. 12
* crystal system: monoclinic
* total moment: 0.000 μB per atom

Cell lengths 7.3095, 7.3095, 8.3939 Å; angles 98.39, 98.39, 120.01 degrees
Closest atoms and distances in Å follow each position.
Atoms (fractional coordinates):
Se  0.3744  0.0658  0.1972  1 Hf 2.75, 2 Nd 2.99
Se  0.0658  0.3744  0.1972  1 Hf 2.75, 2 Nd 2.99
Se  0.9342  0.6256  0.8028  1 Hf 2.75, 2 Nd 2.99
Se  0.6256  0.9342  0.8028  1 Hf 2.75, 2 Nd 2.99
Se  0.2414  0.2414  0.8011  1 Hf 2.76, 2 Nd 2.99
Se  0.7586  0.7586  0.1989  1 Hf 2.76, 2 Nd 2.99
Nd  0.3339  0.6661  0.0000  6 Se 2.99
Nd  0.6661  0.3339  0.0000  6 Se 2.99
Rb  0.8278  0.1722  0.5000  6 Se 3.39-3.53
Rb  0.5000  0.5000  0.5000  6 Se 3.38-3.57
Rb  0.1722  0.8278  0.5000  6 Se 3.39-3.53
Hf  0.0000  0.0000  0.0000  6 Se 2.75-2.76

Entry 4:
A relaxed structure of CePu2Ni, computed with PBE-GGA.

Calculated values
* energy relative to the elements: 226 meV/atom
* SG: No. 166
* distance to the lowest polymorph of the same formula: 0.2018 eV per atom
* crystal system: trigonal
* total moment: 2.634 μB per atom

Cell lengths 3.4632, 3.4632, 9.2521 Å; angles 79.21, 79.21, 60.00 degrees
Closest atoms and distances in Å follow each position.
Atoms (fractional coordinates):
Ce  0.0000  0.0000  0.0000  2 Pu 2.67
Ni  0.5000  0.5000  0.5000  6 Pu 2.72
Pu  0.9014  0.9014  0.2958  1 Ce 2.67, 3 Ni 2.72
Pu  0.0986  0.0986  0.7042  1 Ce 2.67, 3 Ni 2.72

Entry 5:
A relaxed structure of La3Sm2Ni2, computed with PBE-GGA.

Calculated values
* energy relative to the elements: -189 meV/atom
* SG: No. 2
* crystal system: triclinic
* total moment: 0.000 μB per atom

Cell lengths 3.8276, 6.3888, 9.0533 Å; angles 102.85, 102.19, 107.40 degrees
Closest atoms and distances in Å follow each position.
Atoms (fractional coordinates):
Sm  0.6376  0.4656  0.8081  2 Ni 2.87-2.88
Sm  0.3624  0.5344  0.1919  2 Ni 2.87-2.88
La  0.1899  0.8076  0.5727  2 Ni 2.91
La  0.8101  0.1924  0.4273  2 Ni 2.91
La  0.5000  0.0000  0.0000  4 Ni 2.89
Ni  0.0529  0.8942  0.2118  2 Sm 2.87-2.88, 4 La 2.89-2.91
Ni  0.9471  0.1058  0.7882  2 Sm 2.87-2.88, 4 La 2.89-2.91

Entry 6:
A relaxed structure of La8Ge3PtCl4, computed with PBE-GGA.

Calculated values
* ΔE_f (raw): -1.35 eV/atom
* SG: No. 166
* crystal system: trigonal
* total moment: 0.000 μB per atom

Cell lengths 8.7687, 8.5184, 8.7684 Å; angles 120.97, 120.00, 90.00 degrees
Closest atoms and distances in Å follow each position.
Atoms (fractional coordinates):
Cl  0.5000  0.0000  0.0000  6 La 3.13
Cl  0.0000  0.0000  0.0000  6 La 3.09-3.11
Cl  0.0000  0.0000  0.5000  6 La 3.09-3.11
Cl  0.5000  0.0000  0.5000  6 La 3.09-3.11
Ge  0.5000  0.5000  0.5000  6 La 3.01-3.02
Ge  0.5000  0.5000  0.0000  6 La 3.01-3.02
Ge  0.0000  0.5000  0.5000  6 La 3.01-3.02
La  0.7478  0.7353  0.9915  1 Pt 2.98, 2 Ge 3.01, 3 Cl 3.11-3.13
La  0.7562  0.2647  0.0085  1 Pt 2.98, 2 Ge 3.01, 3 Cl 3.11-3.13
La  0.2439  0.7354  0.4877  1 Pt 2.99, 2 Ge 3.01, 3 Cl 3.11-3.13
La  0.2528  0.2585  0.5057  3 Ge 3.02, 3 Cl 3.09
La  0.2522  0.2647  0.0085  1 Pt 2.98, 2 Ge 3.01, 3 Cl 3.11-3.13
La  0.7561  0.2646  0.5123  1 Pt 2.99, 2 Ge 3.01, 3 Cl 3.11-3.13
La  0.7472  0.7415  0.4943  3 Ge 3.02, 3 Cl 3.09
La  0.2438  0.7353  0.9915  1 Pt 2.98, 2 Ge 3.01, 3 Cl 3.11-3.13
Pt  0.0000  0.5000  0.0000  6 La 2.98-2.99

Entry 7:
A relaxed structure of Ho6TeAs3P2, computed with PBE-GGA.

Calculated values
* ΔE_f (raw): -1.54 eV/atom
* SG: No. 12
* crystal system: monoclinic
* total moment: 0.000 μB per atom

Cell lengths 4.0959, 8.2373, 9.1519 Å; angles 102.68, 102.93, 90.00 degrees
Closest atoms and distances in Å follow each position.
Atoms (fractional coordinates):
Ho  0.3249  0.9050  0.6498  3 As 2.81-2.95, 2 P 2.87, 1 Te 3.04
Ho  0.9960  0.7294  0.9919  3 As 2.80-2.91, 1 P 2.85, 2 Te 3.02
Ho  0.0040  0.2706  0.0081  3 As 2.80-2.91, 1 P 2.85, 2 Te 3.02
Ho  0.6696  0.5795  0.3392  3 P 2.83-2.87, 3 As 2.94-2.95
Ho  0.6751  0.0950  0.3502  3 As 2.81-2.95, 2 P 2.87, 1 Te 3.04
Ho  0.3304  0.4205  0.6608  3 P 2.83-2.87, 3 As 2.94-2.95
Te  0.5000  0.0000  0.0000  6 Ho 3.02-3.04
As  0.8369  0.1673  0.6739  6 Ho 2.81-2.95
As  0.5000  0.5000  0.0000  6 Ho 2.80-2.95
As  0.1631  0.8327  0.3261  6 Ho 2.81-2.95
P  0.8324  0.6656  0.6648  6 Ho 2.83-2.87
P  0.1676  0.3344  0.3352  6 Ho 2.83-2.87

Entry 8:
A relaxed structure of TaCd2In, computed with PBE-GGA.

Calculated values
* energy relative to the elements: 235 meV/atom
* SG: No. 160
* crystal system: trigonal
* total moment: 0.000 μB per atom

Cell lengths 10.3480, 10.3480, 10.3480 Å; angles 17.23, 17.23, 17.23 degrees
Closest atoms and distances in Å follow each position.
Atoms (fractional coordinates):
Cd  0.7497  0.7497  0.7497  9 Cd 3.10-3.19, 3 In 3.21
Cd  0.9966  0.9966  0.9966  3 Ta 3.03, 9 Cd 3.10-3.19
In  0.5036  0.5036  0.5036  3 Ta 3.03, 6 In 3.10, 3 Cd 3.21
Ta  0.2501  0.2501  0.2501  3 In 3.03, 3 Cd 3.03, 6 Ta 3.10

Entry 9:
A relaxed structure of NpFe4Cu, computed with PBE-GGA.

Calculated values
* energy relative to the elements: 159 meV/atom
* SG: No. 216
* crystal system: cubic
* total moment: 0.912 μB per atom

Cell lengths 4.9103, 4.9103, 4.9103 Å; angles 60.00, 60.00, 60.00 degrees
Closest atoms and distances in Å follow each position.
Atoms (fractional coordinates):
Fe  0.6257  0.1229  0.6257  6 Fe 2.44-2.47
Fe  0.1229  0.6257  0.6257  6 Fe 2.44-2.47
Fe  0.6257  0.6257  0.1229  6 Fe 2.44-2.47
Fe  0.6257  0.6257  0.6257  6 Fe 2.44-2.47
Np  0.2500  0.2500  0.2500  12 Fe 2.88, 4 Cu 3.01
Cu  0.0000  0.0000  0.0000  12 Fe 2.88, 4 Np 3.01

Entry 10:
A relaxed structure of Na2SrThSe4, computed with PBE-GGA.

Calculated values
* ΔE_f (raw): -1.64 eV/atom
* SG: No. 10
* crystal system: monoclinic
* total moment: 0.000 μB per atom

Cell lengths 4.3714, 7.5738, 7.4050 Å; angles 109.55, 90.00, 90.00 degrees
Closest atoms and distances in Å follow each position.
Atoms (fractional coordinates):
Na  0.0000  0.5000  0.5000  6 Se 3.18-3.23
Na  0.5000  0.0000  0.5000  6 Se 3.03-3.07
Th  0.0000  0.0000  0.0000  6 Se 2.89-2.97
Se  0.0000  0.2350  0.7623  1 Th 2.89, 3 Na 3.07-3.23, 2 Sr 3.09
Se  0.0000  0.7650  0.2377  1 Th 2.89, 3 Na 3.07-3.23, 2 Sr 3.09
Se  0.5000  0.2298  0.2353  2 Th 2.97, 3 Na 3.03-3.18, 1 Sr 3.10
Se  0.5000  0.7702  0.7647  2 Th 2.97, 3 Na 3.03-3.18, 1 Sr 3.10
Sr  0.5000  0.5000  0.0000  6 Se 3.09-3.10

Entry 11:
A relaxed structure of Hf4InIr2, computed with PBE-GGA.

Calculated values
* energy relative to the elements: -440 meV/atom
* SG: No. 166
* crystal system: trigonal
* total moment: 0.000 μB per atom

Cell lengths 4.3905, 4.3905, 9.7988 Å; angles 77.05, 77.05, 60.00 degrees
Closest atoms and distances in Å follow each position.
Atoms (fractional coordinates):
Hf  0.1996  0.1996  0.4011  4 Ir 2.69-2.78
Hf  0.3952  0.3952  0.8143  3 Ir 2.78, 3 In 3.08
Hf  0.8004  0.8004  0.5989  4 Ir 2.69-2.78
Hf  0.6048  0.6048  0.1857  3 Ir 2.78, 3 In 3.08
Ir  0.1018  0.1018  0.6946  7 Hf 2.69-2.78, 1 In 2.89
Ir  0.8982  0.8982  0.3054  7 Hf 2.69-2.78, 1 In 2.89
In  0.0000  0.0000  0.0000  2 Ir 2.89, 6 Hf 3.08

Entry 12:
A relaxed structure of CaTl2CdPb, computed with PBE-GGA.

Calculated values
* energy relative to the elements: 2 meV/atom
* SG: No. 63
* distance to the lowest polymorph of the same formula: 0.0000 eV per atom
* crystal system: orthorhombic
* total moment: 0.000 μB per atom

Cell lengths 6.1730, 6.1414, 8.7939 Å; angles 110.44, 90.00, 90.00 degrees
Closest atoms and distances in Å follow each position.
Atoms (fractional coordinates):
Ca  0.2500  0.6575  0.3149  1 Cd 3.15, 2 Pb 3.35, 4 Tl 3.39
Ca  0.7500  0.3425  0.6851  1 Cd 3.15, 2 Pb 3.35, 4 Tl 3.39
Tl  0.0000  0.7527  0.0000  4 Tl 3.04-3.10, 2 Cd 3.30, 2 Ca 3.39
Tl  0.5000  0.2473  0.0000  4 Tl 3.04-3.10, 2 Cd 3.30, 2 Ca 3.39
Tl  0.5000  0.7527  0.0000  4 Tl 3.04-3.10, 2 Cd 3.30, 2 Ca 3.39
Tl  0.0000  0.2473  0.0000  4 Tl 3.04-3.10, 2 Cd 3.30, 2 Ca 3.39
Pb  0.7500  0.7358  0.4716  4 Ca 3.35-3.54, 4 Cd 3.37-3.60
Pb  0.2500  0.2642  0.5284  4 Ca 3.35-3.54, 4 Cd 3.37-3.60
Cd  0.7500  0.1513  0.3025  1 Ca 3.15, 4 Tl 3.30, 2 Pb 3.37
Cd  0.2500  0.8487  0.6975  1 Ca 3.15, 4 Tl 3.30, 2 Pb 3.37

| no. | calculated total energy (eV per atom) |
| --- | --- |
| 1 | -5.165 |
| 2 | -2.417 |
| 3 | -5.155 |
| 4 | -9.869 |
| 5 | -5.301 |
| 6 | -5.517 |
| 7 | -6.152 |
| 8 | -3.870 |
| 9 | -8.322 |
| 10 | -4.850 |
| 11 | -9.051 |
| 12 | -2.270 |